Record 1
## LaAsOs3 (PBE)

Data for LaAsOs3 after structural relaxation.

Unit cell a=4.8584 b=4.8584 c=4.8584 alpha=90.00 beta=90.00 gamma=90.00
With the nearest neighbours (Å) after each atom.
Fractional positions:
La (0.0000, 0.0000, 0.0000)  6 Os 2.43
Os (0.5000, 0.0000, 0.0000)  2 La 2.43
Os (0.0000, 0.0000, 0.5000)  2 La 2.43
Os (0.0000, 0.5000, 0.0000)  2 La 2.43
As (0.5000, 0.5000, 0.5000)  12 Os 3.44

## Properties
- Total magnetic moment: 0.000 μB/atom
- Offset from the most stable computed form: 2205.4 meV per atom
- Electronic total energy: -0.4212 Ry/atom
- Formation energy: 2.9220 eV/atom

---

Record 2
## La2AsOs (PBE)

Data for La2AsOs after structural relaxation.

Unit cell a=5.0118 b=5.0118 c=5.0118 alpha=60.00 beta=60.00 gamma=60.00
With the nearest neighbours (Å) after each atom.
Fractional positions:
As (0.5000, 0.5000, 0.5000)  4 La 3.07, 4 Os 3.07
La (0.0000, 0.0000, 0.0000)  4 Os 3.07, 4 La 3.07
La (0.7500, 0.7500, 0.7500)  4 As 3.07, 4 La 3.07
Os (0.2500, 0.2500, 0.2500)  4 La 3.07, 4 As 3.07

## Properties
- Total magnetic moment: 0.000 μB/atom
- Electronic total energy: -0.4793 Ry/atom
- Formation energy: -0.0871 eV/atom